SnSbRu2: optimized geometry, PBE.

extended XYZ file:
```
4
Lattice="3.188 0.000 0.000 0.000 3.188 0.000 0.000 0.000 6.782" Properties=species:S:1:pos:R:3 pbc="T T T"
Sb 1.594 1.594 0.000
Sn 1.594 1.594 3.391
Ru 0.000 0.000 5.119
Ru 0.000 0.000 1.663
```

## Properties
energy above the lowest structure with this stoichiometry: 0.000 eV/atom
E_form (uncorrected): 0.0284 eV per atom
symmetry: No. 123

***

SnSb2Ru: optimized geometry, PBE.

extended XYZ file:
```
4
Lattice="3.178 0.000 0.000 1.589 2.752 0.000 1.589 0.917 11.045" Properties=species:S:1:pos:R:3 pbc="T T T"
Sb 1.589 0.917 8.499
Sb 4.767 2.752 2.546
Sn 3.178 1.835 5.523
Ru 0.000 0.000 0.000
```

## Properties
E_form (uncorrected): 0.5741 eV per atom
symmetry: No. 166

***

SnSb2Ru: optimized geometry, PBE.

extended XYZ file:
```
8
Lattice="-1.654 5.001 -3.546 -6.126 -1.201 1.165 -3.649 5.548 3.841" Properties=species:S:1:pos:R:3 pbc="T T T"
Sb -2.621 4.088 -0.916
Sb -5.039 1.537 1.050
Sb -5.991 5.521 2.052
Sb -9.208 7.553 0.733
Sn 0.000 0.000 0.000
Sn -4.597 6.225 -0.448
Ru -3.890 1.900 -1.191
Ru -6.833 3.124 1.908
```

## Properties
E_form (uncorrected): 0.2484 eV per atom
symmetry: No. 122

***

SnSbRu2: optimized geometry, PBE.

extended XYZ file:
```
4
Lattice="0.000 3.257 3.257 3.257 0.000 3.257 3.257 3.257 0.000" Properties=species:S:1:pos:R:3 pbc="T T T"
Sb 3.257 3.257 3.257
Sn 0.000 0.000 0.000
Ru 1.629 1.629 1.629
Ru 4.886 4.886 4.886
```

## Properties
energy above the lowest structure with this stoichiometry: 0.012 eV/atom
E_form (uncorrected): 0.0406 eV per atom
symmetry: No. 225

***

TcSnSbRu: optimized geometry, PBE.

extended XYZ file:
```
4
Lattice="-0.134 -3.081 3.414 3.355 -0.094 3.147 -0.847 1.375 4.308" Properties=species:S:1:pos:R:3 pbc="T T T"
Tc 0.000 0.000 0.000
Sb 1.780 -1.350 8.151
Sn 0.593 -0.450 2.717
Ru 1.187 -0.900 5.434
```

## Properties
E_form (uncorrected): 0.0365 eV per atom
symmetry: No. 216

***

YSn2SbRu: optimized geometry, PBE.

extended XYZ file:
```
5
Lattice="-2.009 3.646 3.802 -4.740 -3.009 0.381 2.280 -3.067 4.145" Properties=species:S:1:pos:R:3 pbc="T T T"
Y 0.000 0.000 0.000
Sb -2.370 -1.505 0.190
Sn 1.140 -1.534 2.073
Sn -1.004 1.823 1.901
Ru -2.235 -1.215 4.164
```

## Properties
E_form (uncorrected): 1.2825 eV per atom
symmetry: No. 123

***

SrSb2Ru: optimized geometry, PBE.

extended XYZ file:
```
4
Lattice="-3.434 -1.552 -2.303 0.687 -2.308 -3.702 -0.756 -6.608 1.345" Properties=species:S:1:pos:R:3 pbc="T T T"
Ru -0.910 -1.474 -1.884
Sb -2.723 -4.646 -5.511
Sb -2.613 -8.301 -3.212
Sr -1.754 -5.143 -2.387
```

## Properties
E_form (uncorrected): -0.4261 eV per atom
symmetry: No. 160

***

SrSb2Ru: optimized geometry, PBE.

extended XYZ file:
```
4
Lattice="-2.688 -1.075 3.407 -1.564 -2.413 -1.995 4.303 -4.472 1.983" Properties=species:S:1:pos:R:3 pbc="T T T"
Ru 0.710 -5.702 1.695
Sb 3.017 -6.178 0.431
Sb 1.091 -4.151 -0.449
Sr -0.659 -2.259 1.701
```

## Properties
E_form (uncorrected): -0.1857 eV per atom
symmetry: No. 10

***

SrSbRu3: optimized geometry, PBE.

extended XYZ file:
```
5
Lattice="-1.842 -3.472 -2.944 -1.040 -2.771 3.919 -4.432 2.094 0.304" Properties=species:S:1:pos:R:3 pbc="T T T"
Sb -3.657 -2.075 0.640
Sr 0.000 0.000 0.000
Ru -0.520 -1.386 1.960
Ru -2.216 1.047 0.152
Ru -0.921 -1.736 -1.472
```

## Properties
energy above the lowest structure with this stoichiometry: 1.465 eV/atom
E_form (uncorrected): 2.3619 eV per atom
symmetry: No. 221

***

SrSb2Ru: optimized geometry, PBE.

extended XYZ file:
```
4
Lattice="-3.285 2.542 -1.464 -1.914 -3.673 -2.084 -2.424 -0.918 3.844" Properties=species:S:1:pos:R:3 pbc="T T T"
Ru -2.855 0.812 1.190
Sb 0.000 0.000 0.000
Sb -2.169 -2.296 0.880
Sr -2.599 -0.566 -1.774
```

## Properties
E_form (uncorrected): 0.0880 eV per atom
symmetry: No. 123

***

SrSb2Ru: optimized geometry, PBE.

extended XYZ file:
```
4
Lattice="-0.148 4.361 -1.613 1.002 -2.219 -6.094 -3.882 -0.844 -1.928" Properties=species:S:1:pos:R:3 pbc="T T T"
Ru -3.201 1.479 -2.417
Sb -2.619 -2.622 -6.850
Sb -0.634 1.518 -2.547
Sr -1.896 -1.455 -3.760
```

## Properties
E_form (uncorrected): -0.2071 eV per atom
symmetry: No. 38

***

SrSb2Ru: optimized geometry, PBE.

extended XYZ file:
```
4
Lattice="3.670 0.000 0.000 0.000 3.670 0.000 0.000 0.000 7.462" Properties=species:S:1:pos:R:3 pbc="T T T"
Ru 1.835 1.835 6.228
Sb 0.000 0.000 7.087
Sb 1.835 1.835 1.557
Sr 0.000 0.000 3.784
```

## Properties
E_form (uncorrected): -0.0815 eV per atom
symmetry: No. 99